# LiZr

A geometry-optimized LiZr structure (PBE, the Alexandria database).

Cell lengths 3.1466, 3.1466, 10.4303 Å; angles 90.00, 90.00, 120.00 degrees
With the nearest neighbours (Å) after each atom.
Space group P-3m1 (No. 164)
Inequivalent atoms, fractional coordinates:
Li: 0.3333 0.6667 0.1249 [2 per cell]  9 Li 3.15-3.18, 3 Zr 3.22
Zr: 0.3333 0.6667 0.6204 [2 per cell]  9 Zr 3.10-3.15, 3 Li 3.22

Its formation energy is 125 meV per atom.

# Zr3IBr

A geometry-optimized Zr3IBr structure (PBE, the Alexandria database).

Cell lengths 5.0725, 5.0725, 5.0725 Å; angles 90.00, 90.00, 90.00 degrees
With the nearest neighbours (Å) after each atom.
Space group Pm-3m (No. 221)
Inequivalent atoms, fractional coordinates:
Zr: 0.0000 0.0000 0.5000 [3 per cell]  2 Br 2.54
I: 0.5000 0.5000 0.5000 [1 per cell]  12 Zr 3.59
Br: 0.0000 0.0000 0.0000 [1 per cell]  6 Zr 2.54

The value obtained for the uncorrected formation energy is 54.5 kJ/mol of atoms.

# ZrTa3

A geometry-optimized ZrTa3 structure (PBE, the Alexandria database).

Cell lengths 4.7914, 4.7914, 6.7010 Å; angles 90.00, 90.00, 90.00 degrees
With the nearest neighbours (Å) after each atom.
Space group I4/mmm (No. 139)
Inequivalent atoms, fractional coordinates:
Zr: 0.0000 0.0000 0.0000 [2 per cell]  8 Ta 2.92
Ta: 0.0000 0.0000 0.5000 [2 per cell]  8 Ta 2.92
Ta: 0.0000 0.5000 0.2500 [4 per cell]  4 Zr 2.92, 4 Ta 2.92

Its formation energy is 115 meV per atom.

# LaEuPdRh

A geometry-optimized LaEuPdRh structure (PBE, the Alexandria database).

Cell lengths 7.2003, 7.2003, 7.2003 Å; angles 90.00, 90.00, 90.00 degrees
With the nearest neighbours (Å) after each atom.
Space group F-43m (No. 216)
Inequivalent atoms, fractional coordinates:
La: 0.0000 0.0000 0.0000 [4 per cell]  4 Pd 3.12, 4 Rh 3.12
Eu: 0.0000 0.0000 0.5000 [4 per cell]  4 Rh 3.12, 4 Pd 3.12
Pd: 0.2500 0.2500 0.7500 [4 per cell]  4 La 3.12, 4 Eu 3.12
Rh: 0.2500 0.2500 0.2500 [4 per cell]  4 La 3.12, 4 Eu 3.12

Its formation energy is -625 meV per atom.

# Mg2ReMo

A geometry-optimized Mg2ReMo structure (PBE, the Alexandria database).

Cell lengths 2.6888, 2.6888, 9.1579 Å; angles 90.00, 90.00, 90.00 degrees
With the nearest neighbours (Å) after each atom.
Space group P4/mmm (No. 123)
Inequivalent atoms, fractional coordinates:
Mg: 0.0000 0.0000 0.2487 [2 per cell]  4 Mg 2.69, 4 Re 2.97, 4 Mo 2.99
Re: 0.5000 0.5000 0.0000 [1 per cell]  4 Re 2.69, 8 Mg 2.97
Mo: 0.5000 0.5000 0.5000 [1 per cell]  4 Mo 2.69, 8 Mg 2.99

Its formation energy is 374 meV per atom.

# LuZrMnZn

A geometry-optimized LuZrMnZn structure (PBE, the Alexandria database).

Cell lengths 6.7219, 6.7219, 6.7219 Å; angles 90.00, 90.00, 90.00 degrees
With the nearest neighbours (Å) after each atom.
Space group F-43m (No. 216)
Inequivalent atoms, fractional coordinates:
Lu: 0.0000 0.0000 0.0000 [4 per cell]  4 Mn 2.91, 4 Zn 2.91
Zr: 0.0000 0.0000 0.5000 [4 per cell]  4 Mn 2.91, 4 Zn 2.91
Mn: 0.2500 0.2500 0.2500 [4 per cell]  4 Zr 2.91, 4 Lu 2.91
Zn: 0.2500 0.2500 0.7500 [4 per cell]  4 Zr 2.91, 4 Lu 2.91

Its formation energy is -50 meV per atom.

# ScCd2In

A geometry-optimized ScCd2In structure (PBE, the Alexandria database).

Cell lengths 3.3432, 3.3432, 8.1134 Å; angles 90.00, 90.00, 90.00 degrees
With the nearest neighbours (Å) after each atom.
Space group P4mm (No. 99)
Inequivalent atoms, fractional coordinates:
Sc: 0.0000 0.0000 0.0000 [1 per cell]  4 In 3.10, 4 Cd 3.10, 4 Sc 3.34
Cd: 0.0000 0.0000 0.4894 [1 per cell]  8 Cd 3.08-3.34, 4 In 3.19
Cd: 0.5000 0.5000 0.2467 [1 per cell]  8 Cd 3.08-3.34, 4 Sc 3.10
In: 0.5000 0.5000 0.7533 [1 per cell]  4 Sc 3.10, 4 Cd 3.19, 4 In 3.34

Its formation energy is -155 meV per atom.

# Dy2PaNi3

A geometry-optimized Dy2PaNi3 structure (PBE, the Alexandria database).

Cell lengths 3.6419, 4.2826, 15.1659 Å; angles 90.00, 90.00, 90.00 degrees
With the nearest neighbours (Å) after each atom.
Space group Immm (No. 71)
Inequivalent atoms, fractional coordinates:
Dy: 0.0000 0.0000 0.1766 [4 per cell]  7 Ni 2.91-3.24
Pa: 0.0000 0.5000 0.0000 [2 per cell]  8 Ni 2.64-2.81
Ni: 0.0000 0.0000 0.3741 [4 per cell]  2 Pa 2.64, 2 Ni 2.87, 4 Dy 2.91
Ni: 0.0000 0.5000 0.5000 [2 per cell]  4 Pa 2.81, 4 Ni 2.87

Its formation energy is -419 meV per atom.

# TbPrCdSi

A geometry-optimized TbPrCdSi structure (PBE, the Alexandria database).

Cell lengths 7.3795, 7.3795, 7.3795 Å; angles 90.00, 90.00, 90.00 degrees
With the nearest neighbours (Å) after each atom.
Space group F-43m (No. 216)
Inequivalent atoms, fractional coordinates:
Tb: 0.0000 0.0000 0.0000 [4 per cell]  4 Si 3.20, 4 Cd 3.20
Pr: 0.0000 0.0000 0.5000 [4 per cell]  4 Cd 3.20, 4 Si 3.20
Cd: 0.2500 0.2500 0.2500 [4 per cell]  4 Tb 3.20, 4 Pr 3.20
Si: 0.2500 0.2500 0.7500 [4 per cell]  4 Tb 3.20, 4 Pr 3.20

The value obtained for the uncorrected formation energy is -36.6 kJ/mol of atoms.

# Cd6PtAu8

A geometry-optimized Cd6PtAu8 structure (PBE, the Alexandria database).

Cell lengths 7.4728, 7.4728, 17.9221 Å; angles 90.00, 90.00, 120.00 degrees
With the nearest neighbours (Å) after each atom.
Space group R-3 (No. 148, hexagonal axes)
Inequivalent atoms, fractional coordinates:
Cd: 0.0266 0.2577 0.2104 [18 per cell]  5 Au 2.83-3.09, 1 Pt 2.86, 3 Cd 2.95-3.17
Pt: 0.0000 0.0000 0.5000 [3 per cell]  6 Cd 2.86, 6 Au 2.97
Au: 0.0000 0.0000 0.0849 [6 per cell]  4 Au 2.88-3.04, 6 Cd 2.90-3.09
Au: 0.0573 0.8036 0.6347 [18 per cell]  3 Cd 2.83-2.95, 6 Au 2.88-3.14, 1 Pt 2.97

Its formation energy is -102 meV per atom.

# La2Er2Sc

A geometry-optimized La2Er2Sc structure (PBE, the Alexandria database).

Cell lengths 6.4614, 11.2934, 8.8010 Å; angles 90.00, 95.57, 90.00 degrees
With the nearest neighbours (Å) after each atom.
Space group C2/m (No. 12)
Inequivalent atoms, fractional coordinates:
La: 0.1307 0.1801 0.3401 [8 per cell]  1 Sc 3.20, 2 La 3.42-3.46, 1 Er 3.48
Er: 0.1405 0.5000 0.3314 [4 per cell]  3 Er 3.41-3.63, 6 La 3.61-3.76
Er: 0.2388 0.0000 0.0371 [4 per cell]  2 Er 3.09-3.41, 4 Sc 3.11-3.44
Sc: 0.0000 0.2719 0.0000 [4 per cell]  4 Er 3.11-3.44, 2 La 3.20, 2 Sc 3.27

Its formation energy is 129 meV per atom.

# AcHgPd

A geometry-optimized AcHgPd structure (PBE, the Alexandria database).

Cell lengths 5.1336, 5.8146, 6.1168 Å; angles 90.00, 114.58, 90.00 degrees
With the nearest neighbours (Å) after each atom.
Space group P2_1/m (No. 11)
Inequivalent atoms, fractional coordinates:
Ac: 0.1859 0.2500 0.2664 [2 per cell]  4 Pd 3.00-3.32, 1 Hg 3.32
Hg: 0.4776 0.2500 0.8624 [2 per cell]  2 Pd 2.82-2.86
Pd: 0.1264 0.7500 0.3568 [2 per cell]  2 Hg 2.82-2.86, 2 Ac 3.00

Its formation energy is -594 meV per atom.